Record 1
The following is a PBE-GGA calculation of crystalline Ac12Ir5Os at its relaxed geometry, from Alexandria.

Values from the calculation:
VASP energy	-113.7	eV per formula unit
volume	38.678	Å³ per atom
formation enthalpy at 0 K	-0.494	eV/atom
size of the total moment	0.00	μB/f.u.

Lattice parameters (Å, degrees): 7.640 7.646 13.975 95.02 100.17 60.04
Fractional positions:
Ac 0.202 0.000 0.612
Ac 0.536 0.333 0.612
Ac 0.798 0.000 0.388
Ac 0.707 0.330 0.112
Ac 0.366 0.000 0.112
Ac 0.869 0.667 0.612
Ac 0.964 0.330 0.888
Ac 0.036 0.670 0.112
Ac 0.634 0.000 0.888
Ac 0.293 0.670 0.888
Ac 0.131 0.333 0.388
Ac 0.464 0.667 0.388
Ir 0.833 0.333 0.500
Ir 0.667 0.667 0.000
Ir 0.167 0.667 0.500
Ir 0.500 0.000 0.500
Ir 0.333 0.333 0.000
Os 0.000 0.000 0.000

=====

Record 2
The following is a PBE-GGA calculation of crystalline Ac7Ir3Os at its relaxed geometry, from Alexandria.

Values from the calculation:
VASP energy	-69.0	eV per formula unit
volume	33.153	Å³ per atom
formation enthalpy at 0 K	-0.219	eV/atom
size of the total moment	0.00	μB/f.u.

Lattice parameters (Å, degrees): 7.302 7.395 7.395 99.17 104.25 104.25
Fractional positions:
Ir 0.500 0.000 0.000
Ir 0.000 0.226 0.774
Ir 0.000 0.774 0.226
Os 0.500 0.500 0.500
Ac 0.000 0.500 0.500
Ac 0.248 0.170 0.170
Ac 0.752 0.830 0.830
Ac 0.726 0.944 0.374
Ac 0.274 0.056 0.626
Ac 0.726 0.374 0.944
Ac 0.274 0.626 0.056

=====

Record 3
The following is a PBE-GGA calculation of crystalline Ac5IrOs at its relaxed geometry, from Alexandria.

Values from the calculation:
VASP energy	-41.5	eV per formula unit
volume	39.394	Å³ per atom
formation enthalpy at 0 K	-0.124	eV/atom
size of the total moment	0.00	μB/f.u.

Lattice parameters (Å, degrees): 7.314 7.314 11.216 105.92 105.92 79.80
Fractional positions:
Ac 0.573 0.722 0.350
Ac 0.227 0.637 0.008
Ac 0.249 0.251 0.250
Ac 0.137 0.727 0.508
Ac 0.773 0.363 0.992
Ac 0.751 0.749 0.750
Ac 0.427 0.278 0.650
Ac 0.222 0.073 0.850
Ac 0.778 0.927 0.150
Ac 0.863 0.273 0.492
Os 0.000 0.000 0.000
Os 0.500 0.500 0.500
Ir 0.928 0.572 0.250
Ir 0.072 0.428 0.750

=====

Record 4
The following is a PBE-GGA calculation of crystalline AcIrOs at its relaxed geometry, from Alexandria.

Values from the calculation:
VASP energy	-22.5	eV per formula unit
volume	31.105	Å³ per atom
formation enthalpy at 0 K	0.583	eV/atom
size of the total moment	0.00	μB/f.u.

Lattice parameters (Å, degrees): 4.470 4.746 8.798 90.00 90.00 90.00
Fractional positions:
Os 0.000 0.500 0.396
Os 0.500 0.000 0.604
Ac 0.500 0.500 0.159
Ac 0.000 0.000 0.841
Ir 0.500 0.500 0.519
Ir 0.000 0.000 0.481

=====

Record 5
The following is a PBE-GGA calculation of crystalline Ac6IrOsPd2 at its relaxed geometry, from Alexandria.

Values from the calculation:
VASP energy	-59.8	eV per formula unit
volume	34.785	Å³ per atom
formation enthalpy at 0 K	-0.469	eV/atom
size of the total moment	0.00	μB/f.u.

Lattice parameters (Å, degrees): 7.579 7.580 8.252 62.62 62.63 59.98
Fractional positions:
Ac 0.087 0.431 0.757
Ac 0.726 0.087 0.756
Ac 0.584 0.229 0.253
Ac 0.229 0.934 0.253
Ac 0.431 0.726 0.756
Ac 0.934 0.584 0.253
Pd 0.007 0.007 0.979
Pd 0.507 0.507 0.480
Os 0.328 0.329 0.015
Ir 0.829 0.829 0.514

=====

Record 6
The following is a PBE-GGA calculation of crystalline Ac8Ir2OsRh at its relaxed geometry, from Alexandria.

Values from the calculation:
VASP energy	-74.4	eV per formula unit
volume	37.115	Å³ per atom
formation enthalpy at 0 K	-0.438	eV/atom
size of the total moment	0.00	μB/f.u.

Lattice parameters (Å, degrees): 7.162 6.981 8.908 90.00 90.00 90.12
Fractional positions:
Ac 0.826 0.224 0.247
Ac 0.672 0.725 0.500
Ac 0.328 0.275 0.500
Ac 0.174 0.776 0.247
Ac 0.826 0.224 0.753
Ac 0.174 0.776 0.753
Ac 0.324 0.273 0.000
Ac 0.676 0.727 0.000
Ir 0.500 0.500 0.251
Ir 0.500 0.500 0.749
Os 0.000 0.000 0.000
Rh 0.000 0.000 0.500